{"formula": "La3MgO", "functional": "PBE-GGA", "state": "relaxed", "lattice": [[26.2756, 0.0000, -3.0246], [0.0000, 6.7140, 0.0000], [-9.4233, 0.0000, 4.2104]], "species": ["La", "La", "La", "La", "La", "La", "La", "La", "La", "La", "La", "La", "Mg", "Mg", "Mg", "Mg", "O", "O", "O", "O"], "frac_coords": [[0.7059, 0.0927, 0.0646], [0.3567, 0.4217, 0.2587], [0.1433, 0.9217, 0.2413], [0.0804, 0.3867, 0.9068], [0.4196, 0.8867, 0.5932], [0.8567, 0.0783, 0.7587], [0.2941, 0.9073, 0.9354], [0.2059, 0.4073, 0.5646], [0.9196, 0.6133, 0.0932], [0.5804, 0.1133, 0.4068], [0.7941, 0.5927, 0.4354], [0.6433, 0.5783, 0.7413], [0.9976, 0.8408, 0.5814], [0.4976, 0.6592, 0.0814], [0.0024, 0.1592, 0.4186], [0.5024, 0.3408, 0.9186], [0.9634, 0.2538, 0.8221], [0.0366, 0.7462, 0.1779], [0.4634, 0.2462, 0.3221], [0.5366, 0.7538, 0.6779]], "formation_energy_uncorrected_ev_per_atom": -1.032, "total_magnetization_mub_per_fu": 0.00, "relative_energy_mev_per_atom": 175.6, "sg": "P2_1/c", "crystal_system": "monoclinic", "density_g_cm3": 5.51}

{"formula": "Pr8Te4As3Au", "functional": "PBE-GGA", "state": "relaxed", "lattice": [[8.8152, 0.0000, 0.0000], [0.0000, 8.9158, 0.0647], [-4.4076, -4.4033, 6.2364]], "species": ["Pr", "Pr", "Pr", "Pr", "Pr", "Pr", "Pr", "Pr", "As", "As", "As", "Te", "Te", "Te", "Te", "Au"], "frac_coords": [[0.7549, 0.2719, 0.0170], [0.7403, 0.7209, 0.4806], [0.2451, 0.7281, 0.9830], [0.7380, 0.7281, 0.9830], [0.2450, 0.7281, 0.4901], [0.7550, 0.2719, 0.5099], [0.2597, 0.2791, 0.5194], [0.2620, 0.2719, 0.0170], [0.5000, 0.5000, 0.5000], [0.5000, 0.5000, 0.0000], [0.0000, 0.5000, 0.5000], [0.0000, 0.0000, 0.5000], [0.5000, 0.0000, 0.5000], [0.0000, 0.0000, 0.0000], [0.5000, 0.0000, 0.0000], [0.0000, 0.5000, 0.0000]], "formation_energy_uncorrected_ev_per_atom": -1.417, "total_magnetization_mub_per_fu": 0.00, "sg": "R-3m", "crystal_system": "trigonal", "density_g_cm3": 6.94}

{"formula": "RbTiCoTe3", "functional": "PBE-GGA", "state": "relaxed", "lattice": [[-1.2045, 1.3274, 3.4364], [0.5756, -9.0702, 3.7053], [8.6057, 6.2144, 0.6161]], "species": ["Te", "Te", "Te", "Te", "Te", "Te", "Rb", "Rb", "Co", "Co", "Ti", "Ti"], "frac_coords": [[0.2500, 0.7862, 0.4605], [0.7500, 0.2138, 0.5395], [0.7500, 0.4721, 0.1318], [0.7500, 0.8877, 0.1511], [0.2500, 0.1123, 0.8489], [0.2500, 0.5279, 0.8682], [0.2500, 0.2422, 0.2510], [0.7500, 0.7578, 0.7490], [0.7500, 0.9178, 0.4042], [0.2500, 0.0822, 0.5958], [0.2500, 0.7032, 0.1769], [0.7500, 0.2968, 0.8231]], "formation_energy_uncorrected_ev_per_atom": -0.624, "total_magnetization_mub_per_fu": 1.39, "sg": "P2_1/m", "crystal_system": "monoclinic", "density_g_cm3": 5.35}

{"formula": "Tb2TiCd", "functional": "PBE-GGA", "state": "relaxed", "lattice": [[-2.8047, 0.7235, -1.4899], [-1.1583, -1.9583, -2.3309], [-7.0503, -6.3990, 6.6039]], "species": ["Tb", "Tb", "Cd", "Ti"], "frac_coords": [[0.9139, 0.9139, 0.2583], [0.0861, 0.0861, 0.7417], [0.5000, 0.5000, 0.5000], [0.0000, 0.0000, 0.0000]], "total_magnetization_mub_per_fu": 1.89, "relative_energy_mev_per_atom": 392.1, "formation_energy_ev_per_fu": 1.45, "sg": "R-3m", "crystal_system": "trigonal", "density_g_cm3": 7.56}

{"formula": "SnBiSb2", "functional": "PBE-GGA", "state": "relaxed", "lattice": [[4.4932, 0.0000, 0.0000], [0.0000, 4.4932, 0.0000], [0.0000, 0.0000, 6.2025]], "species": ["Sn", "Sb", "Sb", "Bi"], "frac_coords": [[0.5000, 0.5000, 0.5000], [0.0000, 0.0000, 0.5000], [0.5000, 0.5000, 0.0000], [0.0000, 0.0000, 0.0000]], "formation_energy_uncorrected_ev_per_atom": 0.043, "total_magnetization_mub_per_fu": 0.00, "relative_energy_mev_per_atom": 17.9, "sg": "P4/mmm", "crystal_system": "tetragonal", "density_g_cm3": 7.57}

{"formula": "In2ReIr", "functional": "PBE-GGA", "state": "relaxed", "lattice": [[-0.3898, -1.9040, -2.2363], [2.5705, -1.2035, 0.5767], [-2.5306, -6.1742, 5.6980]], "species": ["Re", "Ir", "In", "In"], "frac_coords": [[0.5000, 0.8269, 0.7206], [0.0000, 0.4233, 0.5286], [0.5000, 0.0444, 0.2864], [0.0000, 0.2054, 0.9644]], "total_magnetization_mub_per_fu": 0.00, "relative_energy_mev_per_atom": 0.0, "formation_energy_ev_per_fu": 0.44, "sg": "Amm2", "crystal_system": "orthorhombic", "density_g_cm3": 13.60}